Record 1
A plane-wave DFT calculation with GGA-PBE was carried out for crystalline TlBi3Au at its relaxed geometry.

Results
For the uncorrected energy, the calculation gives -3.117 eV per atom. The density comes out at 9.444 g cm⁻³. As for the symmetry: Pm-3m, No. 221. The calculation puts the total moment at 0.0 μB per formula unit. As for the excess energy over the best structure of this formula in the dataset: 0.3417 eV per atom.

Structure (POSCAR):
```
TlBi3Au
1.0
5.655 0.000 0.000
0.000 5.655 0.000
0.000 0.000 5.655
Bi Tl Au
3 1 1
Cartesian
0.000 0.000 2.827
2.827 0.000 0.000
0.000 2.827 0.000
2.827 2.827 2.827
0.000 0.000 0.000
```

***

Record 2
A plane-wave DFT calculation with GGA-PBE was carried out for crystalline TlBiAu2 at its relaxed geometry.

Results
For the uncorrected energy, the calculation gives -3.187 eV per atom. The density comes out at 12.703 g cm⁻³. As for the symmetry: R3m, No. 160. The calculation puts the total moment at 0.0 μB per formula unit.

Structure (POSCAR):
```
TlBiAu2
1.0
4.172 0.000 0.000
2.086 3.613 0.000
2.086 1.204 7.000
Tl Au Bi
1 2 1
Cartesian
4.172 2.409 3.557
2.086 1.204 1.756
2.086 1.204 5.221
6.258 3.613 6.968
```

***

Record 3
A plane-wave DFT calculation with GGA-PBE was carried out for crystalline Tl12Bi5Au3 at its relaxed geometry.

Results
For the uncorrected energy, the calculation gives -2.742 eV per atom. The density comes out at 9.487 g cm⁻³. As for the symmetry: Ia-3d, No. 230. The calculation puts the total moment at 0.0 μB per formula unit.

Structure (POSCAR):
```
Tl12Bi5Au3
1.0
15.493 0.000 0.000
-5.164 14.607 0.000
-5.164 -7.303 12.650
Au Bi Tl
12 20 48
Cartesian
11.619 0.000 3.162
9.037 4.565 1.581
6.455 0.913 4.744
-3.873 -2.739 11.068
9.037 10.042 1.581
-1.291 6.390 7.906
1.291 -0.913 4.744
-3.873 2.739 11.068
3.873 0.000 9.487
3.873 8.216 7.906
1.291 7.303 3.162
-6.455 7.303 9.487
-1.291 3.652 3.162
1.291 -3.652 9.487
-5.164 3.652 6.325
9.037 -0.913 7.906
6.455 6.390 4.744
2.582 3.652 6.325
1.291 4.565 11.068
-1.291 11.868 1.581
-1.291 0.913 7.906
3.873 10.955 3.162
0.000 0.000 0.000
-3.873 8.216 4.744
6.455 3.652 9.487
-2.582 -3.652 6.325
3.873 2.739 1.581
-2.582 7.303 0.000
5.164 7.303 0.000
5.164 -3.652 6.325
7.746 0.000 0.000
6.455 -4.565 11.068
3.405 6.349 4.910
2.463 -2.200 7.068
-5.045 11.037 4.696
9.937 0.648 5.439
-5.987 3.775 9.369
-0.119 5.103 5.581
11.152 3.528 3.281
5.555 6.568 9.606
-4.341 12.032 1.629
2.269 -2.063 11.906
-2.269 -0.388 10.491
0.391 8.686 8.483
5.477 2.063 11.906
-0.823 8.257 4.910
2.269 1.675 11.235
6.923 2.574 1.629
-0.391 0.735 3.044
-4.773 6.655 7.210
-5.283 5.933 11.764
-5.477 0.388 10.491
2.191 5.920 8.483
10.641 6.916 2.158
9.505 -4.729 11.021
8.137 -0.735 3.044
2.701 9.503 5.581
-0.313 8.979 1.415
-2.463 3.734 7.954
-2.973 8.038 9.606
5.477 -1.675 11.235
-2.191 -0.648 5.439
5.283 2.200 7.068
2.973 1.383 4.167
1.759 0.954 7.740
7.627 3.570 4.696
-1.759 4.729 11.021
2.895 9.366 0.744
7.627 13.237 0.886
-1.759 -3.775 9.369
10.448 1.370 0.886
10.209 -3.734 7.954
7.355 7.952 7.210
-0.313 5.240 0.744
5.987 -0.954 7.740
4.773 -1.383 4.167
-2.463 -5.933 11.764
7.433 7.691 2.158
6.923 11.079 3.281
2.895 5.628 1.415
```

***

Record 4
A plane-wave DFT calculation with GGA-PBE was carried out for crystalline Tl4BiAu at its relaxed geometry.

Results
For the uncorrected energy, the calculation gives -2.766 eV per atom. The density comes out at 11.098 g cm⁻³. As for the symmetry: I4/mcm, No. 140. The calculation puts the total moment at 0.0 μB per formula unit. As for the excess energy over the best structure of this formula in the dataset: 0.0181 eV per atom.

Structure (POSCAR):
```
Tl4BiAu
1.0
-0.594 -4.738 5.941
-5.308 -4.006 -3.726
7.447 0.712 -3.577
Tl Au Bi
8 2 2
Cartesian
2.236 -4.907 -0.298
4.274 -0.393 -3.278
1.505 -3.313 -3.990
0.040 -4.719 2.628
-0.691 -3.126 -1.064
-3.459 -6.046 -1.776
5.005 -1.986 0.414
-2.729 -7.640 1.916
2.248 -1.830 -1.235
-0.703 -6.202 -0.127
-2.951 -4.372 1.108
0.000 0.000 0.000
```

***

Number 1: energy of formation 340 meV per atom. Number 2: energy of formation 14 meV per atom. Number 3: energy of formation 139 meV per atom. Number 4: energy of formation 5 meV per atom.